## EuPuSnPb (GGA-PBE)

Data for a geometry-optimized EuPuSnPb structure.

```
data_EuPuSnPb
_symmetry_space_group_name_H-M 'P 1'
_symmetry_Int_Tables_number 1
_symmetry_space_group_name_Hall 'P 1'
_cell_length_a 5.501
_cell_length_b 5.501
_cell_length_c 5.501
_cell_angle_alpha 60.00
_cell_angle_beta 60.00
_cell_angle_gamma 60.00
loop_
_atom_site_label
_atom_site_type_symbol
_atom_site_fract_x
_atom_site_fract_y
_atom_site_fract_z
Sn1 Sn 0.250 0.250 0.250
Eu1 Eu 0.000 0.000 0.000
Pb1 Pb 0.750 0.750 0.750
Pu1 Pu 0.500 0.500 0.500
```

Computed properties:
Formation enthalpy at 0 K   -1.350 eV/f.u.

***

## Na2GeF2 (GGA-PBE)

Data for a geometry-optimized Na2GeF2 structure.

```
data_Na2GeF2
_symmetry_space_group_name_H-M 'P 1'
_symmetry_Int_Tables_number 1
_symmetry_space_group_name_Hall 'P 1'
_cell_length_a 7.143
_cell_length_b 7.143
_cell_length_c 2.954
_cell_angle_alpha 90.00
_cell_angle_beta 90.00
_cell_angle_gamma 90.00
loop_
_atom_site_label
_atom_site_type_symbol
_atom_site_fract_x
_atom_site_fract_y
_atom_site_fract_z
F1 F 0.144 0.356 0.000
F2 F 0.644 0.144 0.000
F3 F 0.856 0.644 0.000
F4 F 0.356 0.856 0.000
Na1 Na 0.860 0.360 0.500
Na2 Na 0.640 0.860 0.500
Na3 Na 0.360 0.140 0.500
Na4 Na 0.140 0.640 0.500
Ge1 Ge 0.000 0.000 0.000
Ge2 Ge 0.500 0.500 0.000
```

Computed properties:
Uncorrected formation energy   -1.536 eV/atom
Distance to the lowest polymorph of the same formula   65 meV/atom

***

## CaMoSeBr2 (GGA-PBE)

Data for a geometry-optimized CaMoSeBr2 structure.

```
data_CaMoSeBr2
_symmetry_space_group_name_H-M 'P 1'
_symmetry_Int_Tables_number 1
_symmetry_space_group_name_Hall 'P 1'
_cell_length_a 5.157
_cell_length_b 5.157
_cell_length_c 5.249
_cell_angle_alpha 90.00
_cell_angle_beta 90.00
_cell_angle_gamma 90.00
loop_
_atom_site_label
_atom_site_type_symbol
_atom_site_fract_x
_atom_site_fract_y
_atom_site_fract_z
Br1 Br 0.500 0.000 0.000
Br2 Br 0.000 0.500 0.000
Se1 Se 0.000 0.000 0.500
Ca1 Ca 0.500 0.500 0.500
Mo1 Mo 0.000 0.000 0.000
```

Computed properties:
Uncorrected formation energy   -0.445 eV/atom
Distance to the lowest polymorph of the same formula   0 meV/atom